## P
VASP calculation (meta-GGA SCAN) on a PBEsol-optimized structure of SrLi2Mg.

Properties
- DOS at the Fermi energy: 0.598 states/eV per atom

```
data_SrLi2Mg
_chemical_formula_sum 'Sr1 Li2 Mg1'
_cell_length_a 3.7455
_cell_length_b 3.7455
_cell_length_c 7.9127
_cell_angle_alpha 90.00
_cell_angle_beta 90.00
_cell_angle_gamma 90.00
_space_group_name_H-M_alt 'P 1'
_space_group_IT_number 1
loop_
_space_group_symop_operation_xyz
'x,y,z'
loop_
_atom_site_label
_atom_site_fract_x
_atom_site_fract_y
_atom_site_fract_z
Sr1 0.0000 0.0000 0.0000
Li1 0.0000 0.0000 0.4990
Li2 0.5000 0.5000 0.3122
Mg1 0.5000 0.5000 0.6939
```

---

## Q
VASP calculation (meta-GGA SCAN) on a PBEsol-optimized structure of SrLi2Mg.

Properties
- DOS at the Fermi energy: 0.780 states/eV per atom

```
data_SrLi2Mg
_chemical_formula_sum 'Sr4 Li8 Mg4'
_cell_length_a 7.6061
_cell_length_b 7.6061
_cell_length_c 7.6061
_cell_angle_alpha 90.00
_cell_angle_beta 90.00
_cell_angle_gamma 90.00
_space_group_name_H-M_alt 'P 1'
_space_group_IT_number 1
loop_
_space_group_symop_operation_xyz
'x,y,z'
loop_
_atom_site_label
_atom_site_fract_x
_atom_site_fract_y
_atom_site_fract_z
Sr1 0.0000 0.0000 0.0000
Sr2 0.0000 0.5000 0.5000
Sr3 0.5000 0.0000 0.5000
Sr4 0.5000 0.5000 0.0000
Li1 0.2500 0.2500 0.2500
Li2 0.2500 0.2500 0.7500
Li3 0.2500 0.7500 0.2500
Li4 0.2500 0.7500 0.7500
Li5 0.7500 0.2500 0.2500
Li6 0.7500 0.2500 0.7500
Li7 0.7500 0.7500 0.2500
Li8 0.7500 0.7500 0.7500
Mg1 0.0000 0.0000 0.5000
Mg2 0.0000 0.5000 0.0000
Mg3 0.5000 0.0000 0.0000
Mg4 0.5000 0.5000 0.5000
```

---

Which one is most stable, and which one is least stable? P is the most stable of them, while Q is the least stable.

---

## P
VASP calculation (meta-GGA SCAN) on a PBEsol-optimized structure of SrLi2Mg.

Properties
- DOS at the Fermi energy: 0.596 states/eV per atom

```
data_SrLi2Mg
_chemical_formula_sum 'Sr2 Li4 Mg2'
_cell_length_a 4.7953
_cell_length_b 4.7953
_cell_length_c 9.9424
_cell_angle_alpha 90.00
_cell_angle_beta 90.00
_cell_angle_gamma 90.00
_space_group_name_H-M_alt 'P 1'
_space_group_IT_number 1
loop_
_space_group_symop_operation_xyz
'x,y,z'
loop_
_atom_site_label
_atom_site_fract_x
_atom_site_fract_y
_atom_site_fract_z
Sr1 0.0000 0.0000 0.0000
Sr2 0.5000 0.5000 0.5000
Li1 0.0000 0.0000 0.5000
Li2 0.0000 0.5000 0.2500
Li3 0.5000 0.0000 0.7500
Li4 0.5000 0.5000 0.0000
Mg1 0.0000 0.5000 0.7500
Mg2 0.5000 0.0000 0.2500
```

---

## Q
VASP calculation (meta-GGA SCAN) on a PBEsol-optimized structure of SrLi2Mg.

Properties
- DOS at the Fermi energy: 0.532 states/eV per atom

```
data_SrLi2Mg
_chemical_formula_sum 'Sr1 Li2 Mg1'
_cell_length_a 3.7043
_cell_length_b 3.9010
_cell_length_c 7.6167
_cell_angle_alpha 90.00
_cell_angle_beta 90.00
_cell_angle_gamma 90.00
_space_group_name_H-M_alt 'P 1'
_space_group_IT_number 1
loop_
_space_group_symop_operation_xyz
'x,y,z'
loop_
_atom_site_label
_atom_site_fract_x
_atom_site_fract_y
_atom_site_fract_z
Sr1 0.0000 0.0000 0.0000
Li1 0.5000 0.5000 0.3092
Li2 0.5000 0.5000 0.6908
Mg1 0.0000 0.0000 0.5000
```

---

## R
VASP calculation (meta-GGA SCAN) on a PBEsol-optimized structure of SrLi2Mg.

Properties
- DOS at the Fermi energy: 0.594 states/eV per atom

```
data_SrLi2Mg
_chemical_formula_sum 'Sr2 Li4 Mg2'
_cell_length_a 4.1759
_cell_length_b 5.3530
_cell_length_c 10.1301
_cell_angle_alpha 90.00
_cell_angle_beta 90.00
_cell_angle_gamma 90.00
_space_group_name_H-M_alt 'P 1'
_space_group_IT_number 1
loop_
_space_group_symop_operation_xyz
'x,y,z'
loop_
_atom_site_label
_atom_site_fract_x
_atom_site_fract_y
_atom_site_fract_z
Sr1 0.0000 0.0000 0.0000
Sr2 0.5000 0.5000 0.5000
Li1 0.0000 0.0000 0.5129
Li2 0.0000 0.5000 0.2283
Li3 0.5000 0.0000 0.7283
Li4 0.5000 0.5000 0.0129
Mg1 0.0000 0.5000 0.7753
Mg2 0.5000 0.0000 0.2753
```

---

Which one is most stable, and which one is least stable? Q is the most stable of them, while P is the least stable.

---

## P
VASP calculation (meta-GGA SCAN) on a PBEsol-optimized structure of LiMg2Tl.

Properties
- DOS at the Fermi energy: 0.400 states/eV per atom

```
data_LiMg2Tl
_chemical_formula_sum 'Li2 Mg4 Tl2'
_cell_length_a 4.3358
_cell_length_b 4.3480
_cell_length_c 8.9108
_cell_angle_alpha 90.00
_cell_angle_beta 90.00
_cell_angle_gamma 90.00
_space_group_name_H-M_alt 'P 1'
_space_group_IT_number 1
loop_
_space_group_symop_operation_xyz
'x,y,z'
loop_
_atom_site_label
_atom_site_fract_x
_atom_site_fract_y
_atom_site_fract_z
Li1 0.0000 0.0000 0.0000
Li2 0.5000 0.5000 0.5000
Mg1 0.0000 0.0000 0.4993
Mg2 0.0000 0.5000 0.2498
Mg3 0.5000 0.0000 0.7498
Mg4 0.5000 0.5000 0.9993
Tl1 0.0000 0.5000 0.7492
Tl2 0.5000 0.0000 0.2492
```

---

## Q
VASP calculation (meta-GGA SCAN) on a PBEsol-optimized structure of LiMg2Tl.

Properties
- DOS at the Fermi energy: 0.213 states/eV per atom

```
data_LiMg2Tl
_chemical_formula_sum 'Li4 Mg8 Tl4'
_cell_length_a 6.8885
_cell_length_b 6.8885
_cell_length_c 6.8885
_cell_angle_alpha 90.00
_cell_angle_beta 90.00
_cell_angle_gamma 90.00
_space_group_name_H-M_alt 'P 1'
_space_group_IT_number 1
loop_
_space_group_symop_operation_xyz
'x,y,z'
loop_
_atom_site_label
_atom_site_fract_x
_atom_site_fract_y
_atom_site_fract_z
Li1 0.0000 0.0000 0.0000
Li2 0.0000 0.5000 0.5000
Li3 0.5000 0.0000 0.5000
Li4 0.5000 0.5000 0.0000
Mg1 0.2500 0.2500 0.2500
Mg2 0.2500 0.2500 0.7500
Mg3 0.2500 0.7500 0.2500
Mg4 0.2500 0.7500 0.7500
Mg5 0.7500 0.2500 0.2500
Mg6 0.7500 0.2500 0.7500
Mg7 0.7500 0.7500 0.2500
Mg8 0.7500 0.7500 0.7500
Tl1 0.0000 0.0000 0.5000
Tl2 0.0000 0.5000 0.0000
Tl3 0.5000 0.0000 0.0000
Tl4 0.5000 0.5000 0.5000
```

---

## R
VASP calculation (meta-GGA SCAN) on a PBEsol-optimized structure of LiMg2Tl.

Properties
- DOS at the Fermi energy: 0.370 states/eV per atom

```
data_LiMg2Tl
_chemical_formula_sum 'Li1 Mg2 Tl1'
_cell_length_a 4.4585
_cell_length_b 4.4585
_cell_length_c 4.1807
_cell_angle_alpha 90.00
_cell_angle_beta 90.00
_cell_angle_gamma 90.00
_space_group_name_H-M_alt 'P 1'
_space_group_IT_number 1
loop_
_space_group_symop_operation_xyz
'x,y,z'
loop_
_atom_site_label
_atom_site_fract_x
_atom_site_fract_y
_atom_site_fract_z
Li1 0.0000 0.0000 0.0000
Mg1 0.0000 0.5000 0.5000
Mg2 0.5000 0.0000 0.5000
Tl1 0.5000 0.5000 0.0000
```

---

## S
VASP calculation (meta-GGA SCAN) on a PBEsol-optimized structure of LiMg2Tl.

Properties
- DOS at the Fermi energy: 0.333 states/eV per atom

```
data_LiMg2Tl
_chemical_formula_sum 'Li2 Mg4 Tl2'
_cell_length_a 10.2601
_cell_length_b 3.2230
_cell_length_c 5.2917
_cell_angle_alpha 90.00
_cell_angle_beta 99.27
_cell_angle_gamma 90.00
_space_group_name_H-M_alt 'P 1'
_space_group_IT_number 1
loop_
_space_group_symop_operation_xyz
'x,y,z'
loop_
_atom_site_label
_atom_site_fract_x
_atom_site_fract_y
_atom_site_fract_z
Li1 0.0000 0.0000 0.0000
Li2 0.5000 0.5000 0.0000
Mg1 0.2475 0.0000 0.7516
Mg2 0.2525 0.5000 0.2484
Mg3 0.7475 0.5000 0.7516
Mg4 0.7525 0.0000 0.2484
Tl1 0.0000 0.5000 0.5000
Tl2 0.5000 0.0000 0.5000
```

---

Which one is most stable, and which one is least stable? Q is the most stable of them, while S is the least stable.

---

## P
VASP calculation (meta-GGA SCAN) on a PBEsol-optimized structure of LiMg2Tl.

Properties
- DOS at the Fermi energy: 0.323 states/eV per atom

```
data_LiMg2Tl
_chemical_formula_sum 'Li4 Mg8 Tl4'
_cell_length_a 6.9190
_cell_length_b 6.9190
_cell_length_c 6.9190
_cell_angle_alpha 90.00
_cell_angle_beta 90.00
_cell_angle_gamma 90.00
_space_group_name_H-M_alt 'P 1'
_space_group_IT_number 1
loop_
_space_group_symop_operation_xyz
'x,y,z'
loop_
_atom_site_label
_atom_site_fract_x
_atom_site_fract_y
_atom_site_fract_z
Li1 0.0000 0.0000 0.0000
Li2 0.0000 0.5000 0.5000
Li3 0.5000 0.0000 0.5000
Li4 0.5000 0.5000 0.0000
Mg1 0.0000 0.0000 0.5000
Mg2 0.0000 0.5000 0.0000
Mg3 0.2500 0.2500 0.7500
Mg4 0.2500 0.7500 0.2500
Mg5 0.5000 0.0000 0.0000
Mg6 0.5000 0.5000 0.5000
Mg7 0.7500 0.2500 0.2500
Mg8 0.7500 0.7500 0.7500
Tl1 0.2500 0.2500 0.2500
Tl2 0.2500 0.7500 0.7500
Tl3 0.7500 0.2500 0.7500
Tl4 0.7500 0.7500 0.2500
```

---

## Q
VASP calculation (meta-GGA SCAN) on a PBEsol-optimized structure of LiMg2Tl.

Properties
- DOS at the Fermi energy: 0.312 states/eV per atom

```
data_LiMg2Tl
_chemical_formula_sum 'Li1 Mg2 Tl1'
_cell_length_a 3.5545
_cell_length_b 3.5545
_cell_length_c 6.6840
_cell_angle_alpha 90.00
_cell_angle_beta 90.00
_cell_angle_gamma 90.00
_space_group_name_H-M_alt 'P 1'
_space_group_IT_number 1
loop_
_space_group_symop_operation_xyz
'x,y,z'
loop_
_atom_site_label
_atom_site_fract_x
_atom_site_fract_y
_atom_site_fract_z
Li1 0.0000 0.0000 0.0000
Mg1 0.0000 0.0000 0.5142
Mg2 0.5000 0.5000 0.2428
Tl1 0.5000 0.5000 0.7765
```

---

## R
VASP calculation (meta-GGA SCAN) on a PBEsol-optimized structure of LiMg2Tl.

Properties
- DOS at the Fermi energy: 0.349 states/eV per atom

```
data_LiMg2Tl
_chemical_formula_sum 'Li1 Mg2 Tl1'
_cell_length_a 3.2857
_cell_length_b 4.0917
_cell_length_c 6.3350
_cell_angle_alpha 90.00
_cell_angle_beta 90.00
_cell_angle_gamma 90.00
_space_group_name_H-M_alt 'P 1'
_space_group_IT_number 1
loop_
_space_group_symop_operation_xyz
'x,y,z'
loop_
_atom_site_label
_atom_site_fract_x
_atom_site_fract_y
_atom_site_fract_z
Li1 0.0000 0.0000 0.0000
Mg1 0.0000 0.0000 0.5112
Mg2 0.5000 0.5000 0.2481
Tl1 0.5000 0.5000 0.7697
```

---

## S
VASP calculation (meta-GGA SCAN) on a PBEsol-optimized structure of LiMg2Tl.

Properties
- DOS at the Fermi energy: 0.269 states/eV per atom

```
data_LiMg2Tl
_chemical_formula_sum 'Li1 Mg2 Tl1'
_cell_length_a 3.1814
_cell_length_b 5.0166
_cell_length_c 5.4499
_cell_angle_alpha 90.00
_cell_angle_beta 93.90
_cell_angle_gamma 90.00
_space_group_name_H-M_alt 'P 1'
_space_group_IT_number 1
loop_
_space_group_symop_operation_xyz
'x,y,z'
loop_
_atom_site_label
_atom_site_fract_x
_atom_site_fract_y
_atom_site_fract_z
Li1 0.0000 0.0000 0.0000
Mg1 0.2560 0.5000 0.7551
Mg2 0.7440 0.5000 0.2449
Tl1 0.5000 0.0000 0.5000
```

---

Which one is most stable, and which one is least stable? P is the most stable of them, while S is the least stable.

---

## P
VASP calculation (meta-GGA SCAN) on a PBEsol-optimized structure of LiMgTl.

Properties
- DOS at the Fermi energy: 0.285 states/eV per atom

```
data_LiMgTl
_chemical_formula_sum 'Li4 Mg4 Tl4'
_cell_length_a 5.1941
_cell_length_b 5.2044
_cell_length_c 9.1119
_cell_angle_alpha 90.00
_cell_angle_beta 90.00
_cell_angle_gamma 90.00
_space_group_name_H-M_alt 'P 1'
_space_group_IT_number 1
loop_
_space_group_symop_operation_xyz
'x,y,z'
loop_
_atom_site_label
_atom_site_fract_x
_atom_site_fract_y
_atom_site_fract_z
Li1 0.0000 0.0000 0.0000
Li2 0.0000 0.5000 0.5000
Li3 0.5000 0.0000 0.5000
Li4 0.5000 0.5000 0.0000
Mg1 0.0000 0.0000 0.6687
Mg2 0.0000 0.5000 0.1687
Mg3 0.5000 0.0000 0.1687
Mg4 0.5000 0.5000 0.6687
Tl1 0.0000 0.0000 0.3413
Tl2 0.0000 0.5000 0.8413
Tl3 0.5000 0.0000 0.8413
Tl4 0.5000 0.5000 0.3413
```

---

## Q
VASP calculation (meta-GGA SCAN) on a PBEsol-optimized structure of LiMgTl.

Properties
- DOS at the Fermi energy: 0.290 states/eV per atom

```
data_LiMgTl
_chemical_formula_sum 'Li4 Mg4 Tl4'
_cell_length_a 4.8052
_cell_length_b 8.3237
_cell_length_c 6.0693
_cell_angle_alpha 90.00
_cell_angle_beta 90.14
_cell_angle_gamma 90.00
_space_group_name_H-M_alt 'P 1'
_space_group_IT_number 1
loop_
_space_group_symop_operation_xyz
'x,y,z'
loop_
_atom_site_label
_atom_site_fract_x
_atom_site_fract_y
_atom_site_fract_z
Li1 0.0000 0.1667 0.2500
Li2 0.0000 0.8333 0.7500
Li3 0.5000 0.3333 0.7500
Li4 0.5000 0.6667 0.2500
Mg1 0.0000 0.5000 0.0000
Mg2 0.0000 0.5000 0.5000
Mg3 0.5000 0.0000 0.0000
Mg4 0.5000 0.0000 0.5000
Tl1 0.0000 0.1667 0.7500
Tl2 0.0000 0.8333 0.2500
Tl3 0.5000 0.3333 0.2500
Tl4 0.5000 0.6667 0.7500
```

---

Which one is most stable, and which one is least stable? Q is the most stable of them, while P is the least stable.